First-principles (PBE-GGA) data for crystalline Pu3IrRh2 at its relaxed geometry, as listed in the Alexandria database.

Summary:
uncorrected energy	-11.500	eV/atom
magnetization	9.75	μB per cell
calculated volume	240	Å³/cell
energy of formation from the pure elements	-407	meV per atom
energy relative to the lowest polymorph listed for this composition	0.0000	eV/atom

Cell and atoms, written as CIF:
```
data_Pu3IrRh2
_symmetry_space_group_name_H-M 'P 1'
_symmetry_Int_Tables_number 1
_cell_length_a 4.9301
_cell_length_b 15.5762
_cell_length_c 3.1267
_cell_angle_alpha 90.00
_cell_angle_beta 90.00
_cell_angle_gamma 90.00
loop_
_symmetry_equiv_pos_as_xyz
'x,y,z'
loop_
_atom_site_label
_atom_site_fract_x
_atom_site_fract_y
_atom_site_fract_z
_atom_site_occupancy
Pu1 0.2500 0.0858 0.0005 1
Pu2 0.2500 0.4142 0.0005 1
Pu3 0.2500 0.7500 0.9990 1
Pu4 0.7500 0.2500 0.0010 1
Pu5 0.7500 0.5858 0.9995 1
Pu6 0.7500 0.9142 0.9995 1
Ir1 0.2500 0.2500 0.5010 1
Ir2 0.7500 0.7500 0.4990 1
Rh1 0.2500 0.5764 0.4996 1
Rh2 0.2500 0.9236 0.4996 1
Rh3 0.7500 0.0764 0.5004 1
Rh4 0.7500 0.4236 0.5004 1
```